The following is a PBE-GGA calculation of a relaxed Ag2HgP crystal, from Alexandria via LeMat-Bulk. Values from VASP.

## Properties
Relative energy among the computed polymorphs, meV per atom: 45.9
Formation enthalpy at 0 K, meV per atom: 297
Crystal system: tetragonal

Cell and atoms, written as Quantum ESPRESSO input:
```
&SYSTEM
  ibrav = 0, nat = 4, ntyp = 3
/
ATOMIC_SPECIES
Ag 107.87 Ag.upf
Hg 200.59 Hg.upf
P 30.97 P.upf
CELL_PARAMETERS angstrom
5.278 0.031 0.000
2.059 4.860 0.000
-3.668 -2.445 2.902
ATOMIC_POSITIONS angstrom
Ag 0.000 0.000 0.000
Ag 1.029 2.430 1.451
Hg 3.668 2.445 0.000
P 2.639 0.016 1.451
```



The following is a PBE-GGA calculation of a relaxed KGaOs3 crystal, from Alexandria via LeMat-Bulk. Values from VASP.

## Properties
Relative energy among the computed polymorphs, meV per atom: 0.0
Formation enthalpy at 0 K, meV per atom: 2039
Crystal system: cubic

Cell and atoms, written as Quantum ESPRESSO input:
```
&SYSTEM
  ibrav = 0, nat = 5, ntyp = 3
/
ATOMIC_SPECIES
K 39.10 K.upf
Os 190.23 Os.upf
Ga 69.72 Ga.upf
CELL_PARAMETERS angstrom
4.700 0.000 0.000
0.000 4.700 0.000
0.000 0.000 4.700
ATOMIC_POSITIONS angstrom
K 2.350 2.350 2.350
Os 0.000 2.350 0.000
Os 0.000 0.000 2.350
Os 2.350 0.000 0.000
Ga 0.000 0.000 0.000
```



The following is a PBE-GGA calculation of a relaxed SmTm2GaC crystal, from Alexandria via LeMat-Bulk. Values from VASP.

## Properties
Formation enthalpy at 0 K, meV per atom: -436
Crystal system: tetragonal

Cell and atoms, written as Quantum ESPRESSO input:
```
&SYSTEM
  ibrav = 0, nat = 5, ntyp = 4
/
ATOMIC_SPECIES
Sm 150.36 Sm.upf
Tm 168.93 Tm.upf
Ga 69.72 Ga.upf
C 12.01 C.upf
CELL_PARAMETERS angstrom
-2.168 1.758 4.144
-3.922 -2.567 -0.963
1.790 -3.671 2.494
ATOMIC_POSITIONS angstrom
Sm -1.084 0.879 2.072
Tm 0.895 -1.836 1.247
Tm -1.961 -1.283 -0.482
Ga -2.150 -2.240 2.837
C 0.000 0.000 0.000
```



The following is a PBE-GGA calculation of a relaxed Tl3CuS crystal, from Alexandria via LeMat-Bulk. Values from VASP.

## Properties
Relative energy among the computed polymorphs, meV per atom: 349.1
Formation energy (no corrections), eV/atom: 0.4822
Crystal system: cubic

Cell and atoms, written as Quantum ESPRESSO input:
```
&SYSTEM
  ibrav = 0, nat = 5, ntyp = 3
/
ATOMIC_SPECIES
Tl 204.38 Tl.upf
S 32.06 S.upf
Cu 63.55 Cu.upf
CELL_PARAMETERS angstrom
5.819 0.000 0.000
0.000 5.819 0.000
0.000 0.000 5.819
ATOMIC_POSITIONS angstrom
Tl 0.000 2.910 0.000
Tl 0.000 0.000 2.910
Tl 2.910 0.000 0.000
S 0.000 0.000 0.000
Cu 2.910 2.910 2.910
```



The following is a PBE-GGA calculation of a relaxed La2Ce3DyN6 crystal, from Alexandria via LeMat-Bulk. Values from VASP.

## Properties
Formation energy (no corrections), eV/atom: -1.4689
Crystal system: monoclinic

Cell and atoms, written as Quantum ESPRESSO input:
```
&SYSTEM
  ibrav = 0, nat = 12, ntyp = 4
/
ATOMIC_SPECIES
La 138.91 La.upf
Ce 140.12 Ce.upf
Dy 162.50 Dy.upf
N 14.01 N.upf
CELL_PARAMETERS angstrom
-5.015 -3.371 1.628
5.172 -2.870 -2.045
1.951 1.760 5.651
ATOMIC_POSITIONS angstrom
La 1.778 -3.037 -0.821
La -1.621 -3.204 0.405
Ce 4.468 -2.073 1.386
Ce -2.360 -2.409 3.848
Ce 1.054 -2.241 2.617
Dy 0.000 0.000 0.000
N -0.067 -3.483 4.430
N 0.638 -4.337 1.177
N 2.175 -0.998 0.804
N 3.175 -3.324 3.261
N 1.470 -0.145 4.057
N -1.067 -1.158 1.973
```



The following is a PBE-GGA calculation of a relaxed MnZn2Br crystal, from Alexandria via LeMat-Bulk. Values from VASP.

## Properties
Relative energy among the computed polymorphs, meV per atom: 200.1
Formation energy (no corrections), eV/atom: 0.2457
Crystal system: orthorhombic

Cell and atoms, written as Quantum ESPRESSO input:
```
&SYSTEM
  ibrav = 0, nat = 4, ntyp = 3
/
ATOMIC_SPECIES
Br 79.90 Br.upf
Mn 54.94 Mn.upf
Zn 65.41 Zn.upf
CELL_PARAMETERS angstrom
-3.828 -1.838 3.609
1.637 -4.570 2.737
0.879 5.407 -1.023
ATOMIC_POSITIONS angstrom
Br -1.032 -3.019 2.990
Mn 0.719 -1.157 2.418
Zn -0.031 -0.092 0.091
Zn -2.063 0.064 2.997
```



Sequential DOS at the Fermi energy output: 1.43; 6.19; 1.54; 3.08; 7.83; 1.99 states/eV per cell